Entry 1:
Density functional theory data (PBE-GGA) for crystalline Pr9DySc2 at its relaxed geometry.

Computed properties:
Energy relative to the elements ... 0.37 eV per formula unit
Volume ... 33.552 Å³/atom
SG ... P4/mmm

The structure in POSCAR format:
```
Pr9DySc2
1.0
5.119 0.000 0.000
0.000 5.119 0.000
0.000 0.000 15.364
Pr Dy Sc
9 1 2
Cartesian
0.000 0.000 0.000 Pr
0.000 0.000 5.155 Pr
0.000 0.000 10.208 Pr
0.000 2.560 2.625 Pr
0.000 2.560 7.682 Pr
0.000 2.560 12.738 Pr
2.560 0.000 2.625 Pr
2.560 0.000 7.682 Pr
2.560 0.000 12.738 Pr
2.560 2.560 0.000 Dy
2.560 2.560 5.151 Sc
2.560 2.560 10.212 Sc
```


Entry 2:
Density functional theory data (PBE-GGA) for crystalline Pr6Dy2Sc at its relaxed geometry.

Computed properties:
ΔE to the lowest computed polymorph ... 0.00 kJ/mol of atoms
Energy relative to the elements ... 0.32 eV per formula unit
Volume ... 33.839 Å³/atom
SG ... C2/m

The structure in POSCAR format:
```
Pr6Dy2Sc
1.0
5.707 -2.570 0.000
5.707 2.570 0.000
-3.357 0.000 10.382
Pr Dy Sc
6 2 1
Cartesian
-0.543 0.000 1.814 Pr
1.742 0.000 6.301 Pr
0.627 0.000 9.817 Pr
7.430 0.000 0.565 Pr
6.315 0.000 4.081 Pr
8.600 0.000 8.568 Pr
2.913 0.000 2.944 Dy
5.144 0.000 7.439 Dy
-1.679 0.000 5.191 Sc
```


Entry 3:
Density functional theory data (PBE-GGA) for crystalline Pr3Dy4Sc at its relaxed geometry.

Computed properties:
ΔE to the lowest computed polymorph ... 0.00 kJ/mol of atoms
Energy relative to the elements ... 0.30 eV per formula unit
Volume ... 32.648 Å³/atom
SG ... Pmn2_1

The structure in POSCAR format:
```
Pr3Dy4Sc
1.0
11.435 0.000 0.000
0.000 7.291 0.000
0.000 0.000 6.265
Pr Dy Sc
6 8 2
Cartesian
0.000 0.928 0.000 Pr
2.857 0.901 2.084 Pr
2.860 6.390 5.217 Pr
5.718 6.363 3.133 Pr
8.578 0.901 2.084 Pr
8.575 6.390 5.217 Pr
0.000 2.747 3.155 Dy
0.000 4.545 6.263 Dy
2.792 4.549 2.120 Dy
2.926 2.742 5.252 Dy
5.718 2.746 3.131 Dy
5.718 4.544 0.022 Dy
8.509 2.742 5.252 Dy
8.644 4.549 2.120 Dy
0.000 6.334 3.111 Sc
5.718 0.956 6.243 Sc
```


Entry 4:
Density functional theory data (PBE-GGA) for crystalline Pr9Dy2Sc at its relaxed geometry.

Computed properties:
Energy relative to the elements ... 0.28 eV per formula unit
Volume ... 34.269 Å³/atom
SG ... P4/mmm

The structure in POSCAR format:
```
Pr9Dy2Sc
1.0
5.154 0.000 0.000
0.000 5.154 0.000
0.000 0.000 15.482
Pr Dy Sc
9 2 1
Cartesian
0.000 0.000 0.000 Pr
0.000 0.000 5.130 Pr
0.000 0.000 10.352 Pr
0.000 2.577 2.518 Pr
0.000 2.577 7.741 Pr
0.000 2.577 12.964 Pr
2.577 0.000 2.518 Pr
2.577 0.000 7.741 Pr
2.577 0.000 12.964 Pr
2.577 2.577 5.127 Dy
2.577 2.577 10.355 Dy
2.577 2.577 0.000 Sc
```


Entry 5:
Density functional theory data (PBE-GGA) for crystalline Pr7Dy12Sc at its relaxed geometry.

Computed properties:
ΔE to the lowest computed polymorph ... 39.30 kJ/mol of atoms
Energy relative to the elements ... 13.22 eV per formula unit
Volume ... 36.593 Å³/atom
SG ... Im-3m

The structure in POSCAR format:
```
Pr7Dy12Sc
1.0
-5.677 5.677 5.677
5.677 -5.677 5.677
5.677 5.677 -5.677
Pr Dy Sc
7 12 1
Cartesian
2.839 2.839 -2.839 Pr
2.839 -2.839 2.839 Pr
5.677 0.000 0.000 Pr
-2.839 2.839 2.839 Pr
0.000 5.677 0.000 Pr
0.000 0.000 5.677 Pr
2.839 2.839 2.839 Pr
5.677 2.937 -2.937 Dy
5.677 -2.937 2.937 Dy
2.937 5.677 -2.937 Dy
2.740 2.740 0.000 Dy
2.740 0.000 2.740 Dy
2.937 -2.937 5.677 Dy
0.000 2.740 2.740 Dy
5.677 2.937 2.937 Dy
-2.937 5.677 2.937 Dy
-2.937 2.937 5.677 Dy
2.937 5.677 2.937 Dy
2.937 2.937 5.677 Dy
0.000 0.000 0.000 Sc
```


Entry 6:
Density functional theory data (PBE-GGA) for crystalline PrDy2Sc at its relaxed geometry.

Computed properties:
ΔE to the lowest computed polymorph ... 11.30 kJ/mol of atoms
Energy relative to the elements ... 0.64 eV per formula unit
Volume ... 31.080 Å³/atom
SG ... Fm-3m

The structure in POSCAR format:
```
PrDy2Sc
1.0
0.000 3.961 3.961
3.961 0.000 3.961
3.961 3.961 0.000
Pr Dy Sc
1 2 1
Cartesian
0.000 0.000 0.000 Pr
1.981 1.981 1.981 Dy
5.942 5.942 5.942 Dy
3.961 3.961 3.961 Sc
```